DFT (SCAN) results for RbW2F at its PBEsol-relaxed geometry.

Lattice parameters (Å, degrees): 4.529 4.529 4.529 60.00 60.00 60.00
Element x y z (fractional)
Rb 0.000 0.000 0.000
W 0.250 0.250 0.250
W 0.750 0.750 0.750
F 0.500 0.500 0.500

* total moment: 0.00 Bohr magnetons per cell
* VASP energy: -38.00 eV/atom
* crystal system: cubic